No. 1
{"formula": "RbPd3Cl", "functional": "PBE", "state": "relaxed", "raw_formation_energy_ev_per_atom": 0.188, "dos_at_fermi_per_ev_fu": 0.05, "lattice_angstrom": [[-2.897, 3.484, 1.608], [-1.382, -2.827, 3.635], [3.579, 1.729, 2.705]], "species": ["Rb", "Pd", "Pd", "Pd", "Cl"], "fractional_positions": [[0.500, 0.500, 0.500], [0.000, 0.500, 0.000], [0.000, 0.000, 0.500], [0.500, 0.000, 0.000], [0.000, 0.000, 0.000]]}



No. 2
{"formula": "RbPdCl2", "functional": "PBE", "state": "relaxed", "raw_formation_energy_ev_per_atom": -0.575, "dos_at_fermi_per_ev_fu": 10.30, "lattice_angstrom": [[0.000, 3.666, 3.666], [3.666, 0.000, 3.666], [3.666, 3.666, 0.000]], "species": ["Rb", "Pd", "Cl", "Cl"], "fractional_positions": [[0.000, 0.000, 0.000], [0.500, 0.500, 0.500], [0.250, 0.250, 0.250], [0.750, 0.750, 0.750]]}



No. 3
{"formula": "RbPdCl3", "functional": "PBE", "state": "relaxed", "raw_formation_energy_ev_per_atom": -0.962, "dos_at_fermi_per_ev_fu": 2.96, "lattice_angstrom": [[24.434, 0.000, -1.536], [0.000, 7.099, 0.000], [-8.607, 0.000, 3.775]], "species": ["Rb", "Rb", "Rb", "Rb", "Pd", "Pd", "Pd", "Pd", "Cl", "Cl", "Cl", "Cl", "Cl", "Cl", "Cl", "Cl", "Cl", "Cl", "Cl", "Cl"], "fractional_positions": [[0.390, 0.750, 0.390], [0.610, 0.250, 0.610], [0.110, 0.250, 0.110], [0.890, 0.750, 0.890], [0.140, 0.250, 0.639], [0.860, 0.750, 0.361], [0.360, 0.750, 0.861], [0.640, 0.250, 0.139], [0.250, 0.000, 0.750], [0.750, 0.000, 0.250], [0.250, 0.500, 0.750], [0.750, 0.500, 0.250], [0.388, 0.250, 0.387], [0.612, 0.750, 0.613], [0.112, 0.750, 0.113], [0.888, 0.250, 0.887], [0.507, 0.750, 0.008], [0.493, 0.250, 0.992], [0.993, 0.250, 0.492], [0.007, 0.750, 0.508]]}



No. 4
{"formula": "RbPdCl", "functional": "PBE", "state": "relaxed", "raw_formation_energy_ev_per_atom": -0.782, "dos_at_fermi_per_ev_fu": 0.00, "lattice_angstrom": [[-1.030, -4.481, -3.300], [-0.552, -5.725, 7.946], [-4.262, -4.466, 2.541]], "species": ["Rb", "Rb", "Pd", "Pd", "Cl", "Cl"], "fractional_positions": [[0.273, 0.061, 0.453], [0.273, 0.486, 0.453], [0.861, 0.612, 0.776], [0.363, 0.612, 0.776], [0.883, 0.883, 0.234], [0.840, 0.340, 0.319]]}



No. 5
{"formula": "RbPdCl", "functional": "PBE", "state": "relaxed", "raw_formation_energy_ev_per_atom": -0.793, "dos_at_fermi_per_ev_fu": 0.00, "lattice_angstrom": [[-4.815, 12.505, 0.203], [-5.421, 3.444, 0.500], [4.049, -4.028, 2.979]], "species": ["Rb", "Rb", "Pd", "Pd", "Cl", "Cl"], "fractional_positions": [[0.293, 0.803, 0.197], [0.707, 0.197, 0.803], [0.889, 0.318, 0.682], [0.111, 0.682, 0.318], [0.318, 0.054, 0.946], [0.682, 0.946, 0.054]]}



No. 6
{"formula": "RbPdCl", "functional": "PBE", "state": "relaxed", "raw_formation_energy_ev_per_atom": -0.349, "dos_at_fermi_per_ev_fu": 0.22, "lattice_angstrom": [[1.611, -4.584, -0.724], [-3.188, -3.587, -1.049], [-0.102, -1.956, -4.505]], "species": ["Rb", "Pd", "Cl"], "fractional_positions": [[0.250, 0.250, 0.250], [0.500, 0.500, 0.500], [0.750, 0.750, 0.750]]}



No. 7
{"formula": "RbPdCl3", "functional": "PBE", "state": "relaxed", "raw_formation_energy_ev_per_atom": -0.942, "dos_at_fermi_per_ev_fu": 3.01, "lattice_angstrom": [[-3.773, -8.106, 2.816], [-8.562, -2.451, -2.925], [-1.033, -7.054, -6.087]], "species": ["Rb", "Rb", "Rb", "Rb", "Pd", "Pd", "Pd", "Pd", "Cl", "Cl", "Cl", "Cl", "Cl", "Cl", "Cl", "Cl", "Cl", "Cl", "Cl", "Cl"], "fractional_positions": [[0.125, 0.125, 0.125], [0.125, 0.625, 0.125], [0.625, 0.125, 0.125], [0.125, 0.125, 0.625], [0.625, 0.625, 0.625], [0.625, 0.125, 0.625], [0.125, 0.625, 0.625], [0.625, 0.625, 0.125], [0.693, 0.307, 0.307], [0.943, 0.557, 0.557], [0.557, 0.557, 0.943], [0.557, 0.943, 0.943], [0.943, 0.557, 0.943], [0.693, 0.307, 0.693], [0.557, 0.943, 0.557], [0.943, 0.943, 0.557], [0.307, 0.693, 0.307], [0.307, 0.693, 0.693], [0.307, 0.307, 0.693], [0.693, 0.693, 0.307]]}



No. 8
{"formula": "RbPdCl", "functional": "PBE", "state": "relaxed", "raw_formation_energy_ev_per_atom": -0.559, "dos_at_fermi_per_ev_fu": 0.00, "lattice_angstrom": [[-2.370, 5.068, -8.320], [-4.069, -7.452, -3.380], [-4.169, 1.362, 2.017]], "species": ["Rb", "Rb", "Rb", "Rb", "Pd", "Pd", "Pd", "Pd", "Cl", "Cl", "Cl", "Cl"], "fractional_positions": [[0.750, 0.250, 0.750], [0.750, 0.750, 0.250], [0.250, 0.750, 0.250], [0.250, 0.250, 0.750], [0.500, 0.250, 0.365], [0.000, 0.750, 0.865], [0.500, 0.750, 0.635], [0.000, 0.250, 0.135], [0.000, 0.000, 0.000], [0.500, 0.500, 0.500], [0.500, 0.000, 0.500], [0.000, 0.500, 0.000]]}



No. 9
{"formula": "RbPdCl", "functional": "PBE", "state": "relaxed", "raw_formation_energy_ev_per_atom": -0.775, "dos_at_fermi_per_ev_fu": 0.00, "lattice_angstrom": [[10.530, 0.000, 0.000], [0.000, 3.817, 0.000], [0.000, 0.000, 8.764]], "species": ["Rb", "Rb", "Rb", "Rb", "Pd", "Pd", "Pd", "Pd", "Cl", "Cl", "Cl", "Cl"], "fractional_positions": [[0.790, 0.250, 0.530], [0.710, 0.750, 0.030], [0.210, 0.750, 0.470], [0.290, 0.250, 0.970], [0.481, 0.250, 0.398], [0.019, 0.750, 0.898], [0.519, 0.750, 0.602], [0.981, 0.250, 0.102], [0.059, 0.250, 0.715], [0.441, 0.750, 0.215], [0.941, 0.750, 0.285], [0.559, 0.250, 0.785]]}



No. 10
{"formula": "RbPdCl", "functional": "PBE", "state": "relaxed", "raw_formation_energy_ev_per_atom": -0.617, "dos_at_fermi_per_ev_fu": 0.04, "lattice_angstrom": [[0.546, 2.901, -3.320], [-3.774, -0.010, 2.343], [1.863, 3.099, 3.015]], "species": ["Rb", "Pd", "Cl"], "fractional_positions": [[0.667, 0.333, 0.500], [0.333, 0.667, 0.000], [0.000, 0.000, 0.000]]}



No. 11
{"formula": "RbPdCl2", "functional": "PBE", "state": "relaxed", "raw_formation_energy_ev_per_atom": -0.862, "dos_at_fermi_per_ev_fu": 0.24, "lattice_angstrom": [[-0.205, -5.316, -3.139], [0.742, -3.139, 5.267], [-6.740, -4.458, 1.914]], "species": ["Rb", "Rb", "Pd", "Pd", "Cl", "Cl", "Cl", "Cl"], "fractional_positions": [[0.500, 0.500, 0.000], [0.250, 0.750, 0.500], [0.000, 0.000, 0.000], [0.750, 0.250, 0.500], [0.733, 0.125, 0.250], [0.017, 0.625, 0.250], [0.375, 0.267, 0.750], [0.875, 0.983, 0.750]]}



No. 12
{"formula": "RbPdCl", "functional": "PBE", "state": "relaxed", "raw_formation_energy_ev_per_atom": -0.638, "dos_at_fermi_per_ev_fu": 0.08, "lattice_angstrom": [[10.376, 0.000, 0.000], [1.925, 3.141, -2.517], [-1.925, 3.141, 2.517]], "species": ["Rb", "Rb", "Pd", "Pd", "Cl", "Cl"], "fractional_positions": [[0.824, 0.424, 0.576], [0.176, 0.576, 0.424], [0.500, 0.500, 0.000], [0.500, 0.000, 0.500], [0.740, 0.008, 0.992], [0.260, 0.992, 0.008]]}



No. 13
{"formula": "RbPdCl4", "functional": "PBE", "state": "relaxed", "raw_formation_energy_ev_per_atom": -0.907, "dos_at_fermi_per_ev_fu": 1.10, "lattice_angstrom": [[-2.457, -1.995, 4.013], [-1.718, -5.629, -3.850], [9.049, -3.227, 0.681]], "species": ["Rb", "Rb", "Pd", "Pd", "Cl", "Cl", "Cl", "Cl", "Cl", "Cl", "Cl", "Cl"], "fractional_positions": [[0.387, 0.750, 0.775], [0.613, 0.250, 0.225], [0.093, 0.750, 0.186], [0.907, 0.250, 0.814], [0.181, 0.522, 0.363], [0.819, 0.478, 0.637], [0.181, 0.978, 0.363], [0.819, 0.022, 0.637], [0.590, 0.750, 0.181], [0.410, 0.250, 0.819], [0.000, 0.500, 0.000], [0.000, 0.000, 0.000]]}



No. 14
{"formula": "RbPdCl2", "functional": "PBE", "state": "relaxed", "raw_formation_energy_ev_per_atom": -0.834, "dos_at_fermi_per_ev_fu": 7.92, "lattice_angstrom": [[2.913, 0.000, 7.787], [-1.457, 2.523, 7.787], [-1.457, -2.523, 7.787]], "species": ["Rb", "Pd", "Cl", "Cl"], "fractional_positions": [[0.500, 0.500, 0.500], [0.000, 0.000, 0.000], [0.901, 0.901, 0.901], [0.099, 0.099, 0.099]]}



No. 15
{"formula": "RbPd4Cl7", "functional": "PBE", "state": "relaxed", "raw_formation_energy_ev_per_atom": -0.583, "dos_at_fermi_per_ev_fu": 6.05, "lattice_angstrom": [[4.947, 0.000, 0.000], [0.000, 7.425, 0.000], [0.000, 0.000, 17.745]], "species": ["Rb", "Rb", "Pd", "Pd", "Pd", "Pd", "Pd", "Pd", "Pd", "Pd", "Cl", "Cl", "Cl", "Cl", "Cl", "Cl", "Cl", "Cl", "Cl", "Cl", "Cl", "Cl", "Cl", "Cl"], "fractional_positions": [[0.885, 0.961, 0.500], [0.385, 0.039, 0.000], [0.611, 0.585, 0.889], [0.928, 0.769, 0.229], [0.428, 0.231, 0.271], [0.111, 0.415, 0.611], [0.111, 0.415, 0.389], [0.611, 0.585, 0.111], [0.928, 0.769, 0.771], [0.428, 0.231, 0.729], [0.885, 0.847, 0.099], [0.385, 0.153, 0.401], [0.396, 0.315, 0.857], [0.896, 0.685, 0.643], [0.896, 0.685, 0.357], [0.396, 0.315, 0.143], [0.423, 0.738, 0.781], [0.923, 0.262, 0.719], [0.923, 0.262, 0.281], [0.423, 0.738, 0.219], [0.783, 0.452, 0.000], [0.283, 0.548, 0.500], [0.885, 0.847, 0.901], [0.385, 0.153, 0.599]]}



No. 16
{"formula": "RbPdCl3", "functional": "PBE", "state": "relaxed", "raw_formation_energy_ev_per_atom": -0.673, "dos_at_fermi_per_ev_fu": 5.32, "lattice_angstrom": [[-3.257, -1.843, -2.839], [3.385, -1.736, -2.755], [0.057, -7.075, 4.529]], "species": ["Rb", "Pd", "Cl", "Cl", "Cl"], "fractional_positions": [[0.000, 0.000, 0.148], [0.500, 0.500, 0.485], [0.000, 0.000, 0.790], [0.500, 0.000, 0.421], [0.000, 0.500, 0.421]]}



No. 17
{"formula": "RbPdCl3", "functional": "PBE", "state": "relaxed", "raw_formation_energy_ev_per_atom": -1.072, "lattice_angstrom": [[7.584, 0.031, -0.066], [4.734, 6.469, -0.067], [-1.956, -3.240, 5.711]], "species": ["Pd", "Pd", "Rb", "Rb", "Cl", "Cl", "Cl", "Cl", "Cl", "Cl"], "fractional_positions": [[0.520, 0.108, 0.419], [0.020, 0.108, 0.919], [0.263, 0.603, 0.173], [0.777, 0.613, 0.665], [0.216, 0.689, 0.714], [0.823, 0.526, 0.124], [0.270, 0.098, 0.539], [0.348, 0.093, 0.066], [0.770, 0.117, 0.299], [0.691, 0.122, 0.772]]}



No. 18
{"formula": "RbPdCl", "functional": "PBE", "state": "relaxed", "raw_formation_energy_ev_per_atom": -0.768, "dos_at_fermi_per_ev_fu": 0.00, "lattice_angstrom": [[-5.827, -4.687, 2.941], [2.020, -5.879, -0.317], [0.091, 5.201, 3.419]], "species": ["Rb", "Rb", "Pd", "Pd", "Cl", "Cl"], "fractional_positions": [[0.701, 0.949, 0.051], [0.246, 0.305, 0.695], [0.056, 0.623, 0.377], [0.822, 0.189, 0.811], [0.605, 0.701, 0.299], [0.259, 0.031, 0.969]]}



No. 19
{"formula": "RbPdCl6", "functional": "PBE", "state": "relaxed", "raw_formation_energy_ev_per_atom": -0.641, "dos_at_fermi_per_ev_fu": 6.34, "lattice_angstrom": [[-2.071, -1.468, 5.739], [-5.980, -1.374, -1.316], [-1.234, -7.023, 0.591]], "species": ["Rb", "Pd", "Cl", "Cl", "Cl", "Cl", "Cl", "Cl"], "fractional_positions": [[0.500, 0.500, 0.500], [0.000, 0.000, 0.000], [0.064, 0.655, 0.253], [0.655, 0.064, 0.253], [0.345, 0.936, 0.747], [0.936, 0.345, 0.747], [0.196, 0.196, 0.104], [0.804, 0.804, 0.896]]}



No. 20
{"formula": "Rb3PdCl5", "functional": "PBE", "state": "relaxed", "raw_formation_energy_ev_per_atom": -1.474, "dos_at_fermi_per_ev_fu": 0.00, "lattice_angstrom": [[-0.679, -0.156, -7.596], [8.617, -1.741, -0.735], [-1.719, -8.646, 0.331]], "species": ["Rb", "Rb", "Rb", "Rb", "Rb", "Rb", "Pd", "Pd", "Cl", "Cl", "Cl", "Cl", "Cl", "Cl", "Cl", "Cl", "Cl", "Cl"], "fractional_positions": [[0.000, 0.000, 0.000], [0.000, 0.500, 0.500], [0.500, 0.333, 0.833], [0.500, 0.833, 0.667], [0.500, 0.167, 0.333], [0.500, 0.667, 0.167], [0.000, 0.500, 0.000], [0.000, 0.000, 0.500], [0.787, 0.133, 0.633], [0.787, 0.867, 0.367], [0.787, 0.367, 0.133], [0.787, 0.633, 0.867], [0.213, 0.133, 0.633], [0.213, 0.633, 0.867], [0.213, 0.367, 0.133], [0.213, 0.867, 0.367], [0.500, 0.000, 0.000], [0.500, 0.500, 0.500]]}



Raw total energy readings, ordered: -3.490; -3.038; -3.302; -3.451; -3.462; -3.018; -3.282; -3.228; -3.444; -3.286; -3.326; -3.307; -3.165; -3.298; -3.472; -3.013; -3.412; -3.437; -2.796; -3.399 eV/atom